No. 1
Material: AsRuCl3
Method: DFT, meta-GGA SCAN
State: single point on PBEsol structure

Structure (POSCAR):
```
AsRuCl3
1.0
4.628 0.000 0.000
0.000 4.628 0.000
0.000 0.000 4.628
As Ru Cl
1 1 3
Cartesian
0.000 0.000 0.000 As
2.314 2.314 2.314 Ru
0.000 2.314 2.314 Cl
2.314 0.000 2.314 Cl
2.314 2.314 0.000 Cl
```

**N(E_F)**: 4.34 states/eV per cell
**ΔE_f (raw)**: 0.265 eV/atom

=====

No. 2
Material: TaMn2Cl
Method: DFT, meta-GGA SCAN
State: single point on PBEsol structure

Structure (POSCAR):
```
TaMn2Cl
1.0
4.327 0.000 0.000
0.000 4.327 0.000
0.000 0.000 2.971
Ta Mn Cl
1 2 1
Cartesian
0.000 0.000 0.000 Ta
0.000 2.164 1.486 Mn
2.164 0.000 1.486 Mn
2.164 2.164 0.000 Cl
```

**E above lowest polymorph**: 2.92 eV/f.u.
**N(E_F)**: 3.02 states/eV per cell
**ΔE_f (raw)**: 0.523 eV/atom

=====

No. 3
Material: HgPtS2
Method: DFT, meta-GGA SCAN
State: single point on PBEsol structure

Structure (POSCAR):
```
HgPtS2
1.0
3.509 0.000 0.000
-1.754 3.039 0.000
0.000 0.000 26.701
Hg Pt S
3 3 6
Cartesian
0.000 0.000 0.000 Hg
0.000 2.026 17.801 Hg
1.754 1.013 8.900 Hg
0.000 0.000 13.351 Pt
0.000 2.026 4.450 Pt
1.754 1.013 22.251 Pt
0.000 0.000 3.217 S
0.000 0.000 23.484 S
0.000 2.026 14.584 S
0.000 2.026 21.018 S
1.754 1.013 5.684 S
1.754 1.013 12.117 S
```

**ΔE_f (raw)**: -0.335 eV/atom

=====

No. 4
Material: Ir2PtCl
Method: DFT, meta-GGA SCAN
State: single point on PBEsol structure

Structure (POSCAR):
```
Ir2PtCl
1.0
4.681 0.000 0.000
0.000 4.681 0.000
0.000 0.000 2.718
Ir Pt Cl
2 1 1
Cartesian
0.000 2.341 0.000 Ir
2.341 0.000 0.000 Ir
0.000 0.000 1.359 Pt
2.341 2.341 1.359 Cl
```

**N(E_F)**: 3.40 states/eV per cell
**ΔE_f (raw)**: 1.000 eV/atom